(1)
Crystalline TiZnPbO4 at its relaxed geometry. Source: the Alexandria database, functional PBE.

Structure (CIF):
```
data_TiZnPbO4
_chemical_formula_sum 'Ti2 Zn2 Pb2 O8'
_space_group_name_H-M_alt 'P 1'
_space_group_IT_number 1
_space_group_name_Hall 'P 1'
_cell_length_a 5.514
_cell_length_b 5.920
_cell_length_c 6.726
_cell_angle_alpha 90.00
_cell_angle_beta 105.56
_cell_angle_gamma 90.00
loop_
_atom_site_label
_atom_site_type_symbol
_atom_site_fract_x
_atom_site_fract_y
_atom_site_fract_z
Ti1 Ti 0.277 0.750 0.331
Ti2 Ti 0.723 0.250 0.669
O1 O 0.391 0.750 0.102
O2 O 0.526 0.750 0.570
O3 O 0.609 0.250 0.898
O4 O 0.974 0.029 0.698
O5 O 0.026 0.529 0.302
O6 O 0.474 0.250 0.430
O7 O 0.026 0.971 0.302
O8 O 0.974 0.471 0.698
Zn1 Zn 0.877 0.750 0.526
Zn2 Zn 0.123 0.250 0.474
Pb1 Pb 0.734 0.750 0.973
Pb2 Pb 0.266 0.250 0.027
```

Results
N(E_F) ... 0.0 states/eV per cell
Uncorrected formation energy ... -1876 meV per atom
Total magnetic moment ... 0.000 μB/f.u.
Energy ... -6.55 eV per atom



(2)
Crystalline Pr8In3Sn2 at its relaxed geometry. Source: the Alexandria database, functional PBE.

Structure (CIF):
```
data_Pr8In3Sn2
_chemical_formula_sum 'Pr8 In3 Sn2'
_space_group_name_H-M_alt 'P 1'
_space_group_IT_number 1
_space_group_name_Hall 'P 1'
_cell_length_a 5.757
_cell_length_b 9.211
_cell_length_c 9.374
_cell_angle_alpha 119.43
_cell_angle_beta 90.00
_cell_angle_gamma 90.00
loop_
_atom_site_label
_atom_site_type_symbol
_atom_site_fract_x
_atom_site_fract_y
_atom_site_fract_z
In1 In 0.000 0.671 0.000
In2 In 0.000 0.329 0.000
In3 In 0.500 0.000 0.000
Pr1 Pr 0.500 0.412 0.237
Pr2 Pr 0.000 0.895 0.790
Pr3 Pr 0.500 0.175 0.763
Pr4 Pr 0.000 0.689 0.379
Pr5 Pr 0.000 0.311 0.621
Pr6 Pr 0.500 0.825 0.237
Pr7 Pr 0.000 0.105 0.210
Pr8 Pr 0.500 0.588 0.763
Sn1 Sn 0.500 0.221 0.442
Sn2 Sn 0.500 0.779 0.558
```

Results
ΔH_f (0 K) ... -0.329 eV/atom
N(E_F) ... 12.6 states/eV per cell
Total magnetic moment ... 0.000 μB/f.u.
Energy ... -4.52 eV per atom